Compound: VSnPbCl6
Source: Alexandria
Functional: PBE
Structure: optimized geometry

The structure belongs to space group P-31c (No. 163); the cell edges are 6.9402, 6.9402 and 12.1241 Å and the angles 90.00°, 90.00° and 120.00°. The distinct sites, in fractional coordinates, are V at (0.3333, 0.6667, 0.2500), Sn at (0.0000, 0.0000, 0.0000), Pb at (0.3333, 0.6667, 0.7500) and Cl at (0.0444, 0.3719, 0.1290).

For the calculated total energy, the calculation gives -75.0 eV/cell.